Compound: BaMg2Br
Source: the Alexandria database
Functional: GGA-PBEsol
Structure: optimized geometry

Values from the calculation:
crystal system	tetragonal
magnetization	0.00	μB/cell
calculated total energy	-0.1771	Ry per atom
formation energy (no corrections)	-0.55	eV/atom
energy above the lowest structure with this stoichiometry	0	meV per atom

Cell: 4.5242 4.5242 6.4376 Å, 90.00 90.00 90.00°
With the nearest neighbours (Å) after each atom.
Atoms (fractional coordinates):
1 Ba 0.0000 0.0000 0.0000  4 Br 3.20
2 Mg 0.0000 0.5000 0.5000  4 Mg 3.20
3 Mg 0.5000 0.0000 0.5000  4 Mg 3.20
4 Br 0.5000 0.5000 0.0000  4 Ba 3.20

Compound: BaMg2Br
Source: the Alexandria database
Functional: GGA-PBEsol
Structure: optimized geometry

Values from the calculation:
crystal system	tetragonal
magnetization	0.00	μB/cell
calculated total energy	-0.1684	Ry per atom
formation energy (no corrections)	-0.43	eV/atom
energy above the lowest structure with this stoichiometry	118	meV per atom

Cell: 5.9629 5.9629 5.9629 Å, 128.56 128.56 75.72°
With the nearest neighbours (Å) after each atom.
Atoms (fractional coordinates):
1 Ba 0.0000 0.0000 0.0000  4 Br 3.50, 8 Mg 3.50-3.66
2 Mg 0.2500 0.7500 0.5000  4 Ba 3.50, 4 Mg 3.50, 4 Br 3.66
3 Mg 0.5000 0.5000 0.0000  4 Br 3.50, 4 Mg 3.50, 4 Ba 3.66
4 Br 0.7500 0.2500 0.5000  4 Ba 3.50, 8 Mg 3.50-3.66

Compound: BaMg2Br
Source: the Alexandria database
Functional: GGA-PBEsol
Structure: optimized geometry

Values from the calculation:
crystal system	cubic
magnetization	0.00	μB/cell
calculated total energy	-0.1470	Ry per atom
formation energy (no corrections)	-0.14	eV/atom
energy above the lowest structure with this stoichiometry	410	meV per atom

Cell: 5.7204 5.7204 5.7204 Å, 60.00 60.00 60.00°
With the nearest neighbours (Å) after each atom.
Atoms (fractional coordinates):
1 Ba 0.0000 0.0000 0.0000  8 Mg 3.50
2 Mg 0.2500 0.2500 0.2500  4 Br 3.50, 4 Ba 3.50
3 Mg 0.7500 0.7500 0.7500  4 Ba 3.50, 4 Br 3.50
4 Br 0.5000 0.5000 0.5000  8 Mg 3.50

Compound: BaMgBr2
Source: the Alexandria database
Functional: GGA-PBEsol
Structure: optimized geometry

Values from the calculation:
crystal system	cubic
magnetization	0.00	μB/cell
calculated total energy	-0.2118	Ry per atom
formation energy (no corrections)	-0.98	eV/atom
energy above the lowest structure with this stoichiometry	266	meV per atom

Cell: 5.6378 5.6378 5.6378 Å, 60.00 60.00 60.00°
With the nearest neighbours (Å) after each atom.
Atoms (fractional coordinates):
1 Ba 0.0000 0.0000 0.0000  4 Br 3.45, 4 Mg 3.45
2 Mg 0.7500 0.7500 0.7500  4 Ba 3.45, 4 Br 3.45
3 Br 0.2500 0.2500 0.2500  4 Ba 3.45, 4 Br 3.45
4 Br 0.5000 0.5000 0.5000  4 Br 3.45, 4 Mg 3.45

Compound: BaMnBr2
Source: the Alexandria database
Functional: GGA-PBEsol
Structure: optimized geometry

Values from the calculation:
crystal system	tetragonal
magnetization	4.91	μB/cell
calculated total energy	-0.3358	Ry per atom
formation energy (no corrections)	-0.66	eV/atom
energy above the lowest structure with this stoichiometry	3	meV per atom

Cell: 5.1097 5.1097 4.2525 Å, 90.00 90.00 90.00°
With the nearest neighbours (Å) after each atom.
Atoms (fractional coordinates):
1 Ba 0.0000 0.0000 0.0000  8 Br 3.32, 4 Mn 3.61
2 Mn 0.5000 0.5000 0.0000  8 Br 3.32, 4 Ba 3.61
3 Br 0.0000 0.5000 0.5000  4 Ba 3.32, 4 Mn 3.32, 4 Br 3.61
4 Br 0.5000 0.0000 0.5000  4 Ba 3.32, 4 Mn 3.32, 4 Br 3.61

Compound: BaMnBr2
Source: the Alexandria database
Functional: GGA-PBEsol
Structure: optimized geometry

Values from the calculation:
crystal system	trigonal
magnetization	5.00	μB/cell
calculated total energy	-0.3251	Ry per atom
formation energy (no corrections)	-0.51	eV/atom
energy above the lowest structure with this stoichiometry	147	meV per atom

Cell: 9.3186 9.3186 9.3186 Å, 29.32 29.32 29.32°
With the nearest neighbours (Å) after each atom.
Atoms (fractional coordinates):
1 Ba 0.0000 0.0000 0.0000  6 Br 3.18
2 Mn 0.5000 0.5000 0.5000  6 Br 3.91
3 Br 0.2717 0.2717 0.2717  3 Ba 3.18
4 Br 0.7283 0.7283 0.7283  3 Ba 3.18

Compound: BaMn2Br
Source: the Alexandria database
Functional: GGA-PBEsol
Structure: optimized geometry

Values from the calculation:
crystal system	orthorhombic
magnetization	8.60	μB/cell
calculated total energy	-0.4036	Ry per atom
formation energy (no corrections)	0.39	eV/atom
energy above the lowest structure with this stoichiometry	0	meV per atom

Cell: 6.4162 6.4162 6.4162 Å, 148.78 131.85 58.51°
With the nearest neighbours (Å) after each atom.
Atoms (fractional coordinates):
1 Ba 0.0000 0.0000 0.0000  4 Br 3.14, 2 Ba 3.45, 4 Mn 3.46
2 Mn 0.2681 0.7681 0.5000  2 Br 3.12, 6 Mn 3.16-3.45, 2 Ba 3.46
3 Mn 0.7319 0.2319 0.5000  2 Br 3.12, 6 Mn 3.16-3.45, 2 Ba 3.46
4 Br 0.5000 0.5000 0.0000  4 Mn 3.12, 4 Ba 3.14, 2 Br 3.45

Compound: BaMnBr2
Source: the Alexandria database
Functional: GGA-PBEsol
Structure: optimized geometry

Values from the calculation:
crystal system	tetragonal
magnetization	5.02	μB/cell
calculated total energy	-0.3359	Ry per atom
formation energy (no corrections)	-0.66	eV/atom
energy above the lowest structure with this stoichiometry	0	meV per atom

Cell: 4.1026 4.1026 6.9302 Å, 90.00 90.00 90.00°
With the nearest neighbours (Å) after each atom.
Atoms (fractional coordinates):
1 Ba 0.0000 0.0000 0.0000  5 Br 3.19-3.33
2 Mn 0.5000 0.5000 0.6330  5 Br 2.74-2.97
3 Br 0.0000 0.0000 0.5402  4 Mn 2.97, 1 Ba 3.19
4 Br 0.5000 0.5000 0.2373  1 Mn 2.74

Compound: BaMnBr2
Source: the Alexandria database
Functional: GGA-PBEsol
Structure: optimized geometry

Values from the calculation:
crystal system	tetragonal
magnetization	5.00	μB/cell
calculated total energy	-0.3359	Ry per atom
formation energy (no corrections)	-0.66	eV/atom
energy above the lowest structure with this stoichiometry	0	meV per atom

Cell: 5.6085 5.6085 5.6085 Å, 124.66 124.66 82.11°
With the nearest neighbours (Å) after each atom.
Atoms (fractional coordinates):
1 Ba 0.0000 0.0000 0.0000  8 Br 3.35, 4 Mn 3.68
2 Mn 0.5000 0.5000 0.0000  8 Br 3.35, 4 Ba 3.68
3 Br 0.2500 0.7500 0.5000  4 Ba 3.35, 4 Mn 3.35, 4 Br 3.68
4 Br 0.7500 0.2500 0.5000  4 Ba 3.35, 4 Mn 3.35, 4 Br 3.68

Compound: BaMn2Br
Source: the Alexandria database
Functional: GGA-PBEsol
Structure: optimized geometry

Values from the calculation:
crystal system	tetragonal
magnetization	8.91	μB/cell
calculated total energy	-0.3862	Ry per atom
formation energy (no corrections)	0.63	eV/atom
energy above the lowest structure with this stoichiometry	236	meV per atom

Cell: 3.6883 3.6883 7.5311 Å, 90.00 90.00 90.00°
With the nearest neighbours (Å) after each atom.
Atoms (fractional coordinates):
1 Ba 0.0000 0.0000 0.0000  8 Mn 3.54, 4 Ba 3.69, 2 Br 3.77
2 Mn 0.5000 0.5000 0.3185  1 Mn 2.73, 4 Br 2.94
3 Mn 0.5000 0.5000 0.6815  1 Mn 2.73, 4 Br 2.94
4 Br 0.0000 0.0000 0.5000  8 Mn 2.94

Compound: Ba2MnPtBr
Source: the Alexandria database
Functional: GGA-PBEsol
Structure: optimized geometry

Values from the calculation:
crystal system	tetragonal
magnetization	2.82	μB/cell
calculated total energy	-0.3286	Ry per atom
formation energy (no corrections)	0.11	eV/atom

Cell: 6.0105 6.0105 4.4404 Å, 90.00 90.00 90.00°
With the nearest neighbours (Å) after each atom.
Atoms (fractional coordinates):
1 Ba 0.0000 0.5000 0.0000  2 Br 3.01
2 Ba 0.5000 0.0000 0.0000  2 Br 3.01
3 Mn 0.0000 0.0000 0.5000  2 Br 2.22
4 Pt 0.5000 0.5000 0.5000  8 Ba 3.74
5 Br 0.0000 0.0000 0.0000  2 Mn 2.22

Compound: BaMnSe2Br
Source: the Alexandria database
Functional: GGA-PBEsol
Structure: optimized geometry

Values from the calculation:
crystal system	tetragonal
magnetization	5.22	μB/cell
calculated total energy	-0.2910	Ry per atom
formation energy (no corrections)	0.34	eV/atom

Cell: 5.9066 5.9066 5.9596 Å, 90.00 90.00 90.00°
With the nearest neighbours (Å) after each atom.
Atoms (fractional coordinates):
1 Ba 0.0000 0.0000 0.0000  4 Se 2.95, 2 Br 2.98
2 Mn 0.5000 0.5000 0.5000  4 Br 4.18, 8 Se 4.20
3 Se 0.0000 0.5000 0.0000  2 Ba 2.95
4 Se 0.5000 0.0000 0.0000  2 Ba 2.95
5 Br 0.0000 0.0000 0.5000  2 Ba 2.98